# 1
Compound: CeDyHf2
Source: the Alexandria database
Functional: GGA-PBE
Structure: optimized geometry

Formation energy = 109.3 kJ/mol of formula units
Polymorph energy (0 for the lowest one) = 96 meV/atom

a = 5.1561 Å, b = 5.1561 Å, c = 5.4126 Å
α = 61.56°, β = 61.56°, γ = 60.00°
Closest atoms and distances in Å follow each position.
Element x y z (fractional)
Hf  0.7733  0.7733  0.6801  4 Dy 3.07-3.31, 3 Ce 3.09, 3 Hf 3.39
Hf  0.2267  0.2267  0.3199  4 Dy 3.07-3.31, 3 Ce 3.09, 3 Hf 3.39
Ce  0.5000  0.5000  0.5000  6 Hf 3.09
Dy  0.0000  0.0000  0.0000  8 Hf 3.07-3.31


# 2
Compound: Ce2DyHf
Source: the Alexandria database
Functional: GGA-PBE
Structure: optimized geometry

Formation energy = 66.4 kJ/mol of formula units
Polymorph energy (0 for the lowest one) = 34 meV/atom

a = 4.9143 Å, b = 4.7037 Å, c = 4.7037 Å
α = 90.00°, β = 90.00°, γ = 90.00°
Closest atoms and distances in Å follow each position.
Element x y z (fractional)
Hf  0.5000  0.0000  0.0000  4 Dy 3.33, 8 Ce 3.40
Ce  0.0000  0.0000  0.5000  4 Ce 3.33, 4 Dy 3.40, 4 Hf 3.40
Ce  0.0000  0.5000  0.0000  4 Ce 3.33, 4 Dy 3.40, 4 Hf 3.40
Dy  0.5000  0.5000  0.5000  4 Hf 3.33, 8 Ce 3.40


# 3
Compound: Ce2DyHf
Source: the Alexandria database
Functional: GGA-PBE
Structure: optimized geometry

Formation energy = 53.2 kJ/mol of formula units
Polymorph energy (0 for the lowest one) = 0 meV/atom

a = 3.2956 Å, b = 3.2956 Å, c = 10.0496 Å
α = 90.00°, β = 90.00°, γ = 90.00°
Closest atoms and distances in Å follow each position.
Element x y z (fractional)
Hf  0.5000  0.5000  0.0000  4 Hf 3.30, 8 Ce 3.32
Ce  0.0000  0.0000  0.7654  4 Ce 3.30, 4 Hf 3.32, 4 Dy 3.54
Ce  0.0000  0.0000  0.2346  4 Ce 3.30, 4 Hf 3.32, 4 Dy 3.54
Dy  0.5000  0.5000  0.5000  4 Dy 3.30, 8 Ce 3.54


# 4
Compound: CeDyHf2
Source: the Alexandria database
Functional: GGA-PBE
Structure: optimized geometry

Formation energy = 89.9 kJ/mol of formula units
Polymorph energy (0 for the lowest one) = 46 meV/atom

a = 3.8654 Å, b = 3.8654 Å, c = 6.8940 Å
α = 90.00°, β = 90.00°, γ = 90.00°
Closest atoms and distances in Å follow each position.
Element x y z (fractional)
Hf  0.0000  0.0000  0.7831  1 Hf 2.99, 4 Ce 3.12
Hf  0.0000  0.0000  0.2169  1 Hf 2.99, 4 Ce 3.12
Ce  0.5000  0.5000  0.0000  8 Hf 3.12, 2 Dy 3.45
Dy  0.5000  0.5000  0.5000  8 Hf 3.36, 2 Ce 3.45


# 5
Compound: Ce2DyHf
Source: the Alexandria database
Functional: GGA-PBE
Structure: optimized geometry

Formation energy = 111.4 kJ/mol of formula units
Polymorph energy (0 for the lowest one) = 151 meV/atom

a = 5.3963 Å, b = 5.3963 Å, c = 5.3963 Å
α = 60.00°, β = 60.00°, γ = 60.00°
Closest atoms and distances in Å follow each position.
Element x y z (fractional)
Hf  0.5000  0.5000  0.5000  8 Ce 3.30
Ce  0.2500  0.2500  0.2500  4 Hf 3.30, 4 Dy 3.30
Ce  0.7500  0.7500  0.7500  4 Hf 3.30, 4 Dy 3.30
Dy  0.0000  0.0000  0.0000  8 Ce 3.30


# 6
Compound: CeDyHoHf
Source: the Alexandria database
Functional: GGA-PBE
Structure: optimized geometry

Formation energy = 101.7 kJ/mol of formula units

a = 5.4176 Å, b = 5.4176 Å, c = 5.4176 Å
α = 60.00°, β = 60.00°, γ = 60.00°
Closest atoms and distances in Å follow each position.
Element x y z (fractional)
Hf  0.7500  0.7500  0.7500  4 Ce 3.32, 4 Dy 3.32
Ho  0.2500  0.2500  0.2500  4 Ce 3.32, 4 Dy 3.32
Ce  0.0000  0.0000  0.0000  4 Ho 3.32, 4 Hf 3.32
Dy  0.5000  0.5000  0.5000  4 Hf 3.32, 4 Ho 3.32


# 7
Compound: CeDy2HfN4
Source: the Alexandria database
Functional: GGA-PBE
Structure: optimized geometry

Formation energy without anion corrections = -1.6660 eV per atom

a = 3.4128 Å, b = 5.9536 Å, c = 5.9093 Å
α = 109.14°, β = 90.00°, γ = 90.00°
Closest atoms and distances in Å follow each position.
Element x y z (fractional)
Ce  0.5000  0.5000  0.0000  6 N 2.42-2.44
Dy  0.5000  0.0000  0.5000  6 N 2.41-2.42
Dy  0.0000  0.5000  0.5000  6 N 2.52-2.54
Hf  0.0000  0.0000  0.0000  6 N 2.29-2.33
N  0.5000  0.2305  0.2313  2 Hf 2.33, 3 Dy 2.42-2.52, 1 Ce 2.42
N  0.5000  0.7695  0.7687  2 Hf 2.33, 3 Dy 2.42-2.52, 1 Ce 2.42
N  0.0000  0.2349  0.7600  1 Hf 2.29, 3 Dy 2.41-2.54, 2 Ce 2.44
N  0.0000  0.7651  0.2400  1 Hf 2.29, 3 Dy 2.41-2.54, 2 Ce 2.44


# 8
Compound: CeDyHfN3
Source: the Alexandria database
Functional: GGA-PBE
Structure: optimized geometry

Formation energy without anion corrections = -1.3011 eV per atom

a = 3.3255 Å, b = 6.4441 Å, c = 9.7614 Å
α = 92.76°, β = 90.00°, γ = 90.00°
Closest atoms and distances in Å follow each position.
Element x y z (fractional)
Ce  0.7500  0.8146  0.7650  6 N 2.39-2.65
Ce  0.2500  0.1854  0.2350  6 N 2.39-2.65
Dy  0.2500  0.6638  0.1130  5 N 2.30-2.46
Dy  0.7500  0.3362  0.8870  5 N 2.30-2.46
Hf  0.2500  0.1712  0.5814  4 N 2.13-2.17
Hf  0.7500  0.8288  0.4186  4 N 2.13-2.17
N  0.2500  0.8352  0.5550  3 Hf 2.13-2.17
N  0.7500  0.8867  0.2052  1 Hf 2.13, 2 Dy 2.35
N  0.7500  0.3829  0.1223  3 Dy 2.30-2.46, 2 Ce 2.39
N  0.7500  0.1648  0.4450  3 Hf 2.13-2.17
N  0.2500  0.6171  0.8777  3 Dy 2.30-2.46, 2 Ce 2.39
N  0.2500  0.1133  0.7948  1 Hf 2.13, 2 Dy 2.35


# 9
Compound: Ce2DyHfP4
Source: the Alexandria database
Functional: GGA-PBE
Structure: optimized geometry

Formation energy = -1141.7 kJ/mol of formula units

a = 3.9540 Å, b = 6.8583 Å, c = 6.8554 Å
α = 109.35°, β = 90.00°, γ = 90.00°
Closest atoms and distances in Å follow each position.
Element x y z (fractional)
Ce  0.5000  0.0000  0.5000  6 P 2.82
Ce  0.0000  0.5000  0.5000  6 P 2.90
Dy  0.5000  0.5000  0.0000  6 P 2.79
Hf  0.0000  0.0000  0.0000  6 P 2.69-2.71
P  0.5000  0.2343  0.2316  2 Hf 2.71, 1 Dy 2.79, 3 Ce 2.82-2.90
P  0.5000  0.7657  0.7684  2 Hf 2.71, 1 Dy 2.79, 3 Ce 2.82-2.90
P  0.0000  0.2434  0.7619  1 Hf 2.69, 2 Dy 2.79, 3 Ce 2.82-2.90
P  0.0000  0.7566  0.2381  1 Hf 2.69, 2 Dy 2.79, 3 Ce 2.82-2.90


# 10
Compound: CeDy2HfP4
Source: the Alexandria database
Functional: GGA-PBE
Structure: optimized geometry

Formation energy = -1149.0 kJ/mol of formula units

a = 3.9369 Å, b = 6.8230 Å, c = 6.8180 Å
α = 109.28°, β = 90.00°, γ = 90.00°
Closest atoms and distances in Å follow each position.
Element x y z (fractional)
Ce  0.5000  0.5000  0.0000  6 P 2.79-2.80
Dy  0.5000  0.0000  0.5000  6 P 2.77
Dy  0.0000  0.5000  0.5000  6 P 2.87
Hf  0.0000  0.0000  0.0000  6 P 2.70-2.71
P  0.5000  0.2352  0.2370  2 Hf 2.71, 3 Dy 2.77-2.87, 1 Ce 2.79
P  0.5000  0.7648  0.7630  2 Hf 2.71, 3 Dy 2.77-2.87, 1 Ce 2.79
P  0.0000  0.2398  0.7551  1 Hf 2.70, 3 Dy 2.77-2.87, 2 Ce 2.80
P  0.0000  0.7602  0.2449  1 Hf 2.70, 3 Dy 2.77-2.87, 2 Ce 2.80


# 11
Compound: CeDyHfSc
Source: the Alexandria database
Functional: GGA-PBE
Structure: optimized geometry

Formation energy = 76.5 kJ/mol of formula units

a = 5.3051 Å, b = 5.3051 Å, c = 5.3051 Å
α = 60.00°, β = 60.00°, γ = 60.00°
Closest atoms and distances in Å follow each position.
Element x y z (fractional)
Sc  0.0000  0.0000  0.0000  4 Ce 3.25, 4 Dy 3.25
Hf  0.5000  0.5000  0.5000  4 Ce 3.25, 4 Dy 3.25
Ce  0.2500  0.2500  0.2500  4 Hf 3.25, 4 Sc 3.25
Dy  0.7500  0.7500  0.7500  4 Hf 3.25, 4 Sc 3.25


# 12
Compound: TbCeDyHf
Source: the Alexandria database
Functional: GGA-PBE
Structure: optimized geometry

Formation energy = 104.6 kJ/mol of formula units

a = 5.4291 Å, b = 5.4291 Å, c = 5.4291 Å
α = 60.00°, β = 60.00°, γ = 60.00°
Closest atoms and distances in Å follow each position.
Element x y z (fractional)
Tb  0.5000  0.5000  0.5000  4 Dy 3.32, 4 Hf 3.32
Hf  0.2500  0.2500  0.2500  4 Tb 3.32, 4 Ce 3.32
Ce  0.0000  0.0000  0.0000  4 Hf 3.32, 4 Dy 3.32
Dy  0.7500  0.7500  0.7500  4 Tb 3.32, 4 Ce 3.32


Which formula does entry 12 have?
TbCeDyHf